(1)
VASP calculation (PBE) on a relaxed Ce3SmTh4Se8 crystal.

M_tot in μB/f.u.: 2.7
N(E_F) in states/eV per cell: 22.29
Energy relative to the elements, uncorrected in eV/atom: -1.686
Space-group type: R-3m, No. 166

POSCAR file:
```
Ce3SmTh4Se8
1.0
-1.529 -2.652 7.739
7.902 2.020 2.254
-4.877 5.792 -3.454
Se Ce Th Sm
8 3 4 1
direct
0.250 0.254 0.002
0.749 0.747 0.497
0.752 0.254 0.504
0.248 0.746 0.496
0.750 0.746 0.998
0.251 0.253 0.503
0.247 0.746 0.998
0.753 0.254 0.002
0.500 0.500 0.000
0.000 0.500 0.500
0.500 0.500 0.500
0.000 0.000 0.000
0.000 0.000 0.500
0.500 0.000 0.500
0.500 0.000 0.000
0.000 0.500 0.000
```

(2)
VASP calculation (PBE) on a relaxed Ce2SmThSe4 crystal.

M_tot in μB/f.u.: 1.7
N(E_F) in states/eV per cell: 13.38
Energy relative to the elements, uncorrected in eV/atom: -1.754
Space-group type: P2/m, No. 10

POSCAR file:
```
Ce2SmThSe4
1.0
4.191 0.000 0.000
0.000 7.270 0.130
0.000 -2.535 6.797
Se Th Sm Ce
4 1 1 2
direct
0.500 0.247 0.249
0.500 0.753 0.751
0.000 0.753 0.250
0.000 0.247 0.750
0.500 0.500 0.000
0.000 0.000 0.000
0.500 0.000 0.500
0.000 0.500 0.500
```

(3)
VASP calculation (PBE) on a relaxed CeSm3Th4Se8 crystal.

M_tot in μB/f.u.: 0.8
N(E_F) in states/eV per cell: 11.27
Energy relative to the elements, uncorrected in eV/atom: -1.679
Space-group type: R-3m, No. 166

POSCAR file:
```
CeSm3Th4Se8
1.0
8.271 0.000 0.000
0.000 8.488 0.147
-4.135 -4.131 5.850
Sm Th Se Ce
3 4 8 1
direct
0.500 0.500 0.500
0.000 0.500 0.500
0.500 0.500 0.000
0.000 0.000 0.500
0.500 0.000 0.000
0.000 0.000 0.000
0.500 0.000 0.500
0.751 0.256 0.005
0.249 0.744 0.498
0.751 0.256 0.502
0.253 0.256 0.005
0.252 0.257 0.504
0.748 0.743 0.496
0.249 0.744 0.995
0.747 0.744 0.995
0.000 0.500 0.000
```

(4)
VASP calculation (PBE) on a relaxed CeSm3Tl3Se8 crystal.

M_tot in μB/f.u.: 0.1
N(E_F) in states/eV per cell: 0.98
Energy relative to the elements, uncorrected in eV/atom: -1.428
Space-group type: R-3m, No. 166

POSCAR file:
```
CeSm3Tl3Se8
1.0
-4.286 0.305 -7.347
7.602 -3.814 0.338
-7.106 -4.311 3.966
Tl Se Sm Ce
3 8 3 1
direct
0.500 0.500 0.000
0.000 0.000 0.000
0.000 0.500 0.000
0.769 0.028 0.297
0.736 0.472 0.708
0.769 0.537 0.297
0.231 0.972 0.703
0.231 0.463 0.703
0.259 0.028 0.297
0.264 0.528 0.292
0.741 0.972 0.703
0.000 0.500 0.500
0.500 0.500 0.500
0.500 0.000 0.500
0.000 0.000 0.500
```

(5)
VASP calculation (PBE) on a relaxed Ce3SmTl4Se8 crystal.

M_tot in μB/f.u.: 3.0
N(E_F) in states/eV per cell: 19.99
Energy relative to the elements, uncorrected in eV/atom: -1.334
Space-group type: R-3m, No. 166

POSCAR file:
```
Ce3SmTl4Se8
1.0
8.659 0.000 0.000
0.000 9.203 0.375
-4.329 -4.328 6.125
Sm Tl Se Ce
1 4 8 3
direct
0.000 0.500 0.000
0.500 0.000 0.500
0.500 0.000 0.000
0.000 0.000 0.500
0.000 0.000 0.000
0.765 0.291 0.026
0.235 0.709 0.470
0.261 0.291 0.026
0.263 0.291 0.527
0.235 0.709 0.974
0.765 0.291 0.530
0.739 0.709 0.974
0.737 0.709 0.473
0.000 0.500 0.500
0.500 0.500 0.000
0.500 0.500 0.500
```

(6)
VASP calculation (PBE) on a relaxed CeSmTl2Se4 crystal.

M_tot in μB/f.u.: 1.0
N(E_F) in states/eV per cell: 6.51
Energy relative to the elements, uncorrected in eV/atom: -1.350
Space-group type: P2/m, No. 10

POSCAR file:
```
CeSmTl2Se4
1.0
4.315 0.000 0.000
0.000 7.467 0.131
0.000 -2.619 7.696
Tl Se Sm Ce
2 4 1 1
direct
0.000 0.500 0.500
0.500 0.000 0.500
0.500 0.233 0.208
0.000 0.739 0.209
0.000 0.261 0.791
0.500 0.767 0.792
0.000 0.000 0.000
0.500 0.500 0.000
```

(7)
VASP calculation (PBE) on a relaxed Ce2SmTl3Se6 crystal.

M_tot in μB/f.u.: 2.0
N(E_F) in states/eV per cell: 13.07
Energy relative to the elements, uncorrected in eV/atom: -1.340
Space-group type: C2/m, No. 12

POSCAR file:
```
Ce2SmTl3Se6
1.0
-1.605 1.181 7.218
-1.518 -6.628 -3.137
8.071 -0.732 0.620
Se Sm Tl Ce
6 1 3 2
direct
0.739 0.739 0.209
0.930 0.600 0.791
0.070 0.400 0.209
0.261 0.261 0.791
0.400 0.070 0.209
0.600 0.930 0.791
0.000 0.000 0.000
0.500 0.500 0.500
0.834 0.166 0.500
0.166 0.834 0.500
0.333 0.667 0.000
0.667 0.333 0.000
```

(8)
VASP calculation (PBE) on a relaxed Ce4Sm3TmSe8 crystal.

M_tot in μB/f.u.: 3.9
N(E_F) in states/eV per cell: 25.92
Energy relative to the elements, uncorrected in eV/atom: -1.809
Space-group type: R-3m, No. 166

POSCAR file:
```
Ce4Sm3TmSe8
1.0
8.318 0.000 0.000
0.000 8.364 0.027
-4.159 -4.155 5.884
Ce Se Tm Sm
4 8 1 3
direct
0.500 0.000 0.000
0.000 0.000 0.500
0.500 0.000 0.500
0.000 0.000 0.000
0.754 0.742 0.998
0.244 0.742 0.487
0.756 0.258 0.002
0.246 0.258 0.002
0.251 0.253 0.502
0.756 0.258 0.513
0.749 0.747 0.498
0.244 0.742 0.998
0.000 0.500 0.000
0.500 0.500 0.000
0.000 0.500 0.500
0.500 0.500 0.500
```

(9)
VASP calculation (PBE) on a relaxed Ce2SmTm3Se6 crystal.

M_tot in μB/f.u.: 2.3
N(E_F) in states/eV per cell: 13.98
Energy relative to the elements, uncorrected in eV/atom: -1.756
Space-group type: C2/m, No. 12

POSCAR file:
```
Ce2SmTm3Se6
1.0
4.051 0.000 0.000
0.000 8.330 0.165
-2.025 -2.539 8.655
Ce Sm Se Tm
2 1 6 3
direct
0.833 0.665 0.665
0.167 0.335 0.335
0.500 0.000 0.000
0.004 0.742 0.007
0.662 0.593 0.325
0.330 0.927 0.660
0.670 0.073 0.340
0.338 0.407 0.675
0.996 0.258 0.993
0.500 0.500 0.000
0.834 0.168 0.667
0.166 0.832 0.333
```

(10)
VASP calculation (PBE) on a relaxed Ce2Sm3TmSe6 crystal.

M_tot in μB/f.u.: 1.8
N(E_F) in states/eV per cell: 14.65
Energy relative to the elements, uncorrected in eV/atom: -1.797
Space-group type: C2/m, No. 12

POSCAR file:
```
Ce2Sm3TmSe6
1.0
-0.462 -7.046 1.400
6.116 3.553 1.340
-4.079 2.562 5.362
Ce Sm Se Tm
2 3 6 1
direct
0.334 0.666 0.000
0.666 0.334 0.000
0.169 0.831 0.500
0.831 0.169 0.500
0.500 0.500 0.500
0.241 0.241 0.751
0.759 0.759 0.249
0.919 0.594 0.754
0.081 0.406 0.246
0.406 0.081 0.246
0.594 0.919 0.754
0.000 0.000 0.000
```

(11)
VASP calculation (PBE) on a relaxed CeSm2TmSe5 crystal.

M_tot in μB/f.u.: 1.3
N(E_F) in states/eV per cell: 11.91
Energy relative to the elements, uncorrected in eV/atom: -1.262
Space-group type: P4/mmm, No. 123

POSCAR file:
```
CeSm2TmSe5
1.0
-1.677 4.762 -0.709
-4.084 -1.009 2.881
5.502 3.270 8.946
Se Sm Ce Tm
5 2 1 1
direct
0.000 0.500 0.500
0.000 0.000 0.747
0.500 0.000 0.500
0.500 0.500 0.000
0.000 0.000 0.253
0.500 0.500 0.664
0.500 0.500 0.336
0.000 0.000 0.000
0.000 0.000 0.500
```

(12)
VASP calculation (PBE) on a relaxed CeSmTm2Se4 crystal.

M_tot in μB/f.u.: 1.0
N(E_F) in states/eV per cell: 8.33
Energy relative to the elements, uncorrected in eV/atom: -1.753
Space-group type: P2/m, No. 10

POSCAR file:
```
CeSmTm2Se4
1.0
-3.817 -1.284 -0.363
1.331 -2.025 -6.837
2.240 -6.662 0.019
Ce Tm Se Sm
1 2 4 1
direct
0.500 0.500 0.000
0.500 0.000 0.500
0.000 0.000 0.000
0.000 0.233 0.257
0.500 0.766 0.246
0.500 0.234 0.754
0.000 0.767 0.743
0.000 0.500 0.500
```

(13)
VASP calculation (PBE) on a relaxed CeSmY2Se4 crystal.

M_tot in μB/f.u.: 1.0
N(E_F) in states/eV per cell: 8.95
Energy relative to the elements, uncorrected in eV/atom: -1.800
Space-group type: P2/m, No. 10

POSCAR file:
```
CeSmY2Se4
1.0
4.102 0.000 0.000
0.000 7.226 -0.186
0.000 2.502 6.693
Sm Se Y Ce
1 4 2 1
direct
0.000 0.500 0.500
0.500 0.759 0.248
0.500 0.241 0.752
0.000 0.240 0.254
0.000 0.760 0.746
0.500 0.000 0.500
0.000 0.000 0.000
0.500 0.500 0.000
```

(14)
VASP calculation (PBE) on a relaxed Ce2SmYSe5 crystal.

M_tot in μB/f.u.: 3.4
N(E_F) in states/eV per cell: 19.31
Energy relative to the elements, uncorrected in eV/atom: -1.219
Space-group type: P4/mmm, No. 123

POSCAR file:
```
Ce2SmYSe5
1.0
5.264 0.000 0.000
0.000 5.264 0.000
0.000 0.000 10.809
Ce Se Y Sm
2 5 1 1
direct
0.500 0.500 0.692
0.500 0.500 0.308
0.000 0.500 0.500
0.500 0.000 0.500
0.000 0.000 0.242
0.500 0.500 0.000
0.000 0.000 0.758
0.000 0.000 0.000
0.000 0.000 0.500
```

(15)
VASP calculation (PBE) on a relaxed CeSm2YSe6 crystal.

M_tot in μB/f.u.: 1.0
N(E_F) in states/eV per cell: 4.99
Energy relative to the elements, uncorrected in eV/atom: -1.821
Space-group type: R3, No. 146

POSCAR file:
```
CeSm2YSe6
1.0
-3.141 -6.389 -1.934
2.977 -4.099 -5.364
3.619 -6.649 2.016
Se Y Ce Sm
6 1 1 2
direct
0.410 0.715 0.753
0.924 0.607 0.251
0.122 0.410 0.753
0.715 0.122 0.753
0.218 0.924 0.251
0.607 0.218 0.251
0.318 0.318 0.045
0.815 0.815 0.555
0.015 0.015 0.955
0.518 0.518 0.447
```

(16)
VASP calculation (PBE) on a relaxed Ce3Sm3YSe8 crystal.

M_tot in μB/f.u.: 3.6
N(E_F) in states/eV per cell: 20.08
Energy relative to the elements, uncorrected in eV/atom: -1.866
Space-group type: R-3m, No. 166

POSCAR file:
```
Ce3Sm3YSe8
1.0
8.333 0.000 0.000
-4.167 7.217 -0.025
0.000 -4.787 6.876
Sm Se Ce Y
3 8 3 1
direct
0.500 0.000 0.500
0.000 0.500 0.500
0.500 0.500 0.500
0.248 0.495 0.746
0.250 0.002 0.255
0.248 0.998 0.745
0.752 0.002 0.255
0.752 0.505 0.254
0.251 0.503 0.253
0.750 0.998 0.745
0.749 0.497 0.747
0.000 0.500 0.000
0.000 0.000 0.000
0.500 0.500 0.000
0.000 0.000 0.500
```

(17)
VASP calculation (PBE) on a relaxed Ce4Sm3YSe8 crystal.

M_tot in μB/f.u.: 3.9
N(E_F) in states/eV per cell: 26.15
Energy relative to the elements, uncorrected in eV/atom: -1.820
Space-group type: R-3m, No. 166

POSCAR file:
```
Ce4Sm3YSe8
1.0
-4.166 -4.950 -5.252
4.803 -6.475 2.294
-4.129 4.351 5.785
Se Sm Ce Y
8 3 4 1
direct
0.246 0.744 0.998
0.754 0.256 0.508
0.752 0.744 0.998
0.251 0.253 0.502
0.248 0.256 0.002
0.749 0.747 0.498
0.246 0.744 0.492
0.754 0.256 0.002
0.500 0.500 0.000
0.500 0.500 0.500
0.000 0.500 0.500
0.000 0.000 0.500
0.500 0.000 0.500
0.500 0.000 0.000
0.000 0.000 0.000
0.000 0.500 0.000
```

(18)
VASP calculation (PBE) on a relaxed Ce3SmY2Se6 crystal.

M_tot in μB/f.u.: 3.0
N(E_F) in states/eV per cell: 19.45
Energy relative to the elements, uncorrected in eV/atom: -1.813
Space-group type: C2/m, No. 12

POSCAR file:
```
Ce3SmY2Se6
1.0
7.174 -0.004 -0.001
-3.589 6.212 -0.001
-1.197 -2.072 6.856
Se Ce Y Sm
6 3 2 1
direct
0.081 0.419 0.242
0.258 0.258 0.760
0.919 0.581 0.758
0.581 0.919 0.758
0.419 0.081 0.242
0.742 0.742 0.240
0.164 0.836 0.500
0.836 0.164 0.500
0.500 0.500 0.500
0.333 0.667 0.000
0.667 0.333 0.000
0.000 0.000 0.000
```

(19)
VASP calculation (PBE) on a relaxed Ce3Sm2YSe6 crystal.

M_tot in μB/f.u.: 3.0
N(E_F) in states/eV per cell: 19.54
Energy relative to the elements, uncorrected in eV/atom: -1.820
Space-group type: C2/m, No. 12

POSCAR file:
```
Ce3Sm2YSe6
1.0
7.209 -0.004 -0.001
-3.606 6.242 -0.001
-1.202 -2.082 6.861
Ce Se Y Sm
3 6 1 2
direct
0.500 0.500 0.500
0.831 0.169 0.500
0.169 0.831 0.500
0.590 0.919 0.757
0.753 0.753 0.246
0.081 0.410 0.243
0.919 0.590 0.757
0.410 0.081 0.243
0.247 0.247 0.754
0.000 0.000 0.000
0.666 0.334 0.000
0.334 0.666 0.000
```

(20)
VASP calculation (PBE) on a relaxed Ce2SmYSe4 crystal.

M_tot in μB/f.u.: 2.1
N(E_F) in states/eV per cell: 13.05
Energy relative to the elements, uncorrected in eV/atom: -1.815
Space-group type: P2/m, No. 10

POSCAR file:
```
Ce2SmYSe4
1.0
-0.966 0.906 3.922
2.271 -6.591 2.082
7.000 0.332 1.647
Se Ce Sm Y
4 2 1 1
direct
0.000 0.744 0.748
0.000 0.256 0.252
0.500 0.741 0.257
0.500 0.259 0.743
0.000 0.000 0.000
0.500 0.000 0.500
0.500 0.500 0.000
0.000 0.500 0.500
```